A plane-wave DFT calculation with PBE+U was carried out for MnAsP2O after structural relaxation.

Structure (POSCAR):
```
MnAsP2O
1.0
-0.367 -4.533 -0.921
-0.142 -0.912 4.547
-3.420 0.287 -0.050
P As Mn O
2 1 1 1
direct
0.000 0.500 0.000 P
0.500 0.000 0.000 P
0.500 0.500 0.500 As
0.000 0.000 0.000 Mn
0.000 0.000 0.500 O
```

Properties
**Polymorph energy (0 for the lowest one)**: 182.8 meV per atom
**Space group**: P4/mmm, No. 123
**Fermi-level density of states**: 2.761 states/eV per cell